Record 1
LaNdY2: relaxed, PBE.

Values from the calculation:
- DFT total energy (eV/atom) = -5.633
- distance to the lowest polymorph of the same formula (eV per atom) = 0.015
- space-group type = P4/mmm
- size of the total moment (μB per atom) = 0.000
- D(E_F) (states/eV/atom) = 1.675

Unit cell a=3.673 b=3.673 c=10.138 alpha=90.00 beta=90.00 gamma=90.00
Atoms (fractional coordinates):
La (0.000, 0.000, 0.000)
Nd (0.000, 0.000, 0.500)
Y (0.500, 0.500, 0.253)
Y (0.500, 0.500, 0.747)

Record 2
La3Nd4Y5: relaxed, PBE.

Values from the calculation:
- DFT total energy (eV/atom) = -5.295
- distance to the lowest polymorph of the same formula (eV per atom) = 0.203
- space-group type = C2/m
- size of the total moment (μB per atom) = 0.016
- D(E_F) (states/eV/atom) = 1.619

Unit cell a=8.731 b=8.731 c=9.488 alpha=114.73 beta=114.73 gamma=40.68
Atoms (fractional coordinates):
La (0.000, 0.000, 0.000)
La (0.291, 0.291, 0.770)
La (0.709, 0.709, 0.230)
Nd (0.292, 0.292, 0.120)
Nd (0.416, 0.416, 0.555)
Nd (0.584, 0.584, 0.445)
Nd (0.708, 0.708, 0.880)
Y (0.072, 0.072, 0.699)
Y (0.171, 0.171, 0.389)
Y (0.500, 0.500, 0.000)
Y (0.829, 0.829, 0.611)
Y (0.928, 0.928, 0.301)

Record 3
La4Nd11Y9: relaxed, PBE.

Values from the calculation:
- DFT total energy (eV/atom) = -5.369
- space-group type = Cmmm
- size of the total moment (μB per atom) = 0.000
- D(E_F) (states/eV/atom) = 1.342

Unit cell a=15.475 b=15.475 c=3.761 alpha=90.00 beta=90.00 gamma=112.53
Atoms (fractional coordinates):
La (0.054, 0.255, 0.000)
La (0.255, 0.054, 0.000)
La (0.745, 0.946, 0.000)
La (0.946, 0.745, 0.000)
Nd (0.091, 0.454, 0.500)
Nd (0.135, 0.865, 0.500)
Nd (0.210, 0.210, 0.500)
Nd (0.342, 0.658, 0.500)
Nd (0.454, 0.091, 0.500)
Nd (0.500, 0.500, 0.500)
Nd (0.546, 0.909, 0.500)
Nd (0.658, 0.342, 0.500)
Nd (0.790, 0.790, 0.500)
Nd (0.865, 0.135, 0.500)
Nd (0.909, 0.546, 0.500)
Y (0.000, 0.000, 0.000)
Y (0.137, 0.662, 0.000)
Y (0.289, 0.434, 0.000)
Y (0.338, 0.863, 0.000)
Y (0.434, 0.289, 0.000)
Y (0.566, 0.711, 0.000)
Y (0.662, 0.137, 0.000)
Y (0.711, 0.566, 0.000)
Y (0.863, 0.338, 0.000)

Record 4
La6Nd2Y3: relaxed, PBE.

Values from the calculation:
- DFT total energy (eV/atom) = -5.298
- space-group type = P-1
- size of the total moment (μB per atom) = 0.000
- D(E_F) (states/eV/atom) = 1.726

Unit cell a=6.385 b=8.216 c=8.237 alpha=107.21 beta=97.03 gamma=104.99
Atoms (fractional coordinates):
La (0.046, 0.181, 0.410)
La (0.137, 0.546, 0.229)
La (0.319, 0.272, 0.864)
La (0.681, 0.728, 0.136)
La (0.863, 0.454, 0.771)
La (0.954, 0.819, 0.590)
Nd (0.228, 0.910, 0.047)
Nd (0.772, 0.090, 0.953)
Y (0.410, 0.638, 0.682)
Y (0.500, 0.000, 0.500)
Y (0.590, 0.362, 0.318)

Record 5
La2Nd5Y3: relaxed, PBE.

Values from the calculation:
- DFT total energy (eV/atom) = -5.049
- distance to the lowest polymorph of the same formula (eV per atom) = 0.081
- space-group type = Ibam
- size of the total moment (μB per atom) = 0.000
- D(E_F) (states/eV/atom) = 1.621

Unit cell a=11.206 b=11.206 c=11.206 alpha=113.43 beta=76.99 gamma=145.85
Atoms (fractional coordinates):
La (0.171, 0.085, 0.255)
La (0.329, 0.585, 0.914)
La (0.671, 0.415, 0.086)
La (0.829, 0.915, 0.745)
Nd (0.167, 0.738, 0.904)
Nd (0.250, 0.002, 0.752)
Nd (0.250, 0.498, 0.248)
Nd (0.250, 0.750, 0.500)
Nd (0.333, 0.238, 0.571)
Nd (0.667, 0.762, 0.429)
Nd (0.750, 0.250, 0.500)
Nd (0.750, 0.502, 0.752)
Nd (0.750, 0.998, 0.248)
Nd (0.833, 0.262, 0.096)
Y (0.167, 0.406, 0.573)
Y (0.250, 0.250, 0.000)
Y (0.333, 0.906, 0.239)
Y (0.667, 0.094, 0.761)
Y (0.750, 0.750, 0.000)
Y (0.833, 0.594, 0.427)

Record 6
LaNd3Y12: relaxed, PBE.

Values from the calculation:
- DFT total energy (eV/atom) = -6.026
- space-group type = P4/mmm
- size of the total moment (μB per atom) = 0.000
- D(E_F) (states/eV/atom) = 1.584

Unit cell a=5.097 b=5.097 c=20.393 alpha=90.00 beta=90.00 gamma=90.00
Atoms (fractional coordinates):
La (0.000, 0.000, 0.000)
Nd (0.000, 0.000, 0.250)
Nd (0.000, 0.000, 0.500)
Nd (0.000, 0.000, 0.750)
Y (0.000, 0.500, 0.126)
Y (0.000, 0.500, 0.375)
Y (0.000, 0.500, 0.625)
Y (0.000, 0.500, 0.874)
Y (0.500, 0.000, 0.126)
Y (0.500, 0.000, 0.375)
Y (0.500, 0.000, 0.625)
Y (0.500, 0.000, 0.874)
Y (0.500, 0.500, 0.000)
Y (0.500, 0.500, 0.251)
Y (0.500, 0.500, 0.500)
Y (0.500, 0.500, 0.749)

Record 7
La5NdY12: relaxed, PBE.

Values from the calculation:
- DFT total energy (eV/atom) = -5.919
- space-group type = C2/m
- size of the total moment (μB per atom) = 0.000
- D(E_F) (states/eV/atom) = 1.413

Unit cell a=10.882 b=10.882 c=6.286 alpha=106.59 beta=106.59 gamma=59.88
Atoms (fractional coordinates):
La (0.000, 0.000, 0.000)
La (0.166, 0.166, 0.500)
La (0.334, 0.334, 0.001)
La (0.666, 0.666, 0.999)
La (0.834, 0.834, 0.500)
Nd (0.500, 0.500, 0.500)
Y (0.002, 0.665, 0.000)
Y (0.166, 0.502, 0.501)
Y (0.170, 0.830, 0.500)
Y (0.332, 0.668, 0.000)
Y (0.335, 0.998, 0.000)
Y (0.498, 0.834, 0.499)
Y (0.502, 0.166, 0.501)
Y (0.665, 0.002, 0.000)
Y (0.668, 0.332, 0.000)
Y (0.830, 0.170, 0.500)
Y (0.834, 0.498, 0.499)
Y (0.998, 0.335, 0.000)

Record 8
La3NdY12: relaxed, PBE.

Values from the calculation:
- DFT total energy (eV/atom) = -6.040
- space-group type = P4/mmm
- size of the total moment (μB per atom) = 0.000
- D(E_F) (states/eV/atom) = 1.702

Unit cell a=5.113 b=5.113 c=20.448 alpha=90.00 beta=90.00 gamma=90.00
Atoms (fractional coordinates):
La (0.000, 0.000, 0.000)
La (0.000, 0.000, 0.250)
La (0.000, 0.000, 0.750)
Nd (0.000, 0.000, 0.500)
Y (0.000, 0.500, 0.125)
Y (0.000, 0.500, 0.377)
Y (0.000, 0.500, 0.623)
Y (0.000, 0.500, 0.875)
Y (0.500, 0.000, 0.125)
Y (0.500, 0.000, 0.377)
Y (0.500, 0.000, 0.623)
Y (0.500, 0.000, 0.875)
Y (0.500, 0.500, 0.000)
Y (0.500, 0.500, 0.251)
Y (0.500, 0.500, 0.500)
Y (0.500, 0.500, 0.749)

Record 9
La2Nd4Y7: relaxed, PBE.

Values from the calculation:
- DFT total energy (eV/atom) = -5.687
- space-group type = P-1
- size of the total moment (μB per atom) = 0.000
- D(E_F) (states/eV/atom) = 1.574

Unit cell a=6.266 b=8.139 c=9.628 alpha=65.03 beta=89.81 gamma=82.52
Atoms (fractional coordinates):
La (0.038, 0.271, 0.152)
La (0.962, 0.729, 0.848)
Nd (0.193, 0.346, 0.768)
Nd (0.422, 0.963, 0.692)
Nd (0.578, 0.037, 0.308)
Nd (0.807, 0.654, 0.232)
Y (0.116, 0.807, 0.461)
Y (0.269, 0.883, 0.078)
Y (0.347, 0.425, 0.386)
Y (0.500, 0.500, 0.000)
Y (0.653, 0.575, 0.614)
Y (0.731, 0.117, 0.922)
Y (0.884, 0.193, 0.539)

Record 10
LaNd3Y6: relaxed, PBE.

Values from the calculation:
- DFT total energy (eV/atom) = -5.660
- distance to the lowest polymorph of the same formula (eV per atom) = 0.000
- space-group type = Cmc2_1
- size of the total moment (μB per atom) = 0.000
- D(E_F) (states/eV/atom) = 1.414

Unit cell a=11.017 b=11.017 c=6.446 alpha=90.00 beta=90.00 gamma=119.78
Atoms (fractional coordinates):
La (0.189, 0.811, 0.500)
La (0.811, 0.189, 0.000)
Nd (0.068, 0.295, 0.682)
Nd (0.295, 0.068, 0.182)
Nd (0.388, 0.612, 0.575)
Nd (0.612, 0.388, 0.075)
Nd (0.705, 0.932, 0.682)
Nd (0.932, 0.705, 0.182)
Y (0.040, 0.960, 0.783)
Y (0.057, 0.473, 0.273)
Y (0.268, 0.732, 0.979)
Y (0.288, 0.377, 0.097)
Y (0.377, 0.288, 0.597)
Y (0.473, 0.057, 0.773)
Y (0.527, 0.943, 0.273)
Y (0.623, 0.712, 0.097)
Y (0.712, 0.623, 0.597)
Y (0.732, 0.268, 0.479)
Y (0.943, 0.527, 0.773)
Y (0.960, 0.040, 0.283)

Record 11
La4Nd3Y4: relaxed, PBE.

Values from the calculation:
- DFT total energy (eV/atom) = -5.320
- distance to the lowest polymorph of the same formula (eV per atom) = 0.000
- space-group type = Immm
- size of the total moment (μB per atom) = 0.000
- D(E_F) (states/eV/atom) = 1.384

Unit cell a=12.500 b=12.500 c=12.500 alpha=163.28 beta=135.23 gamma=48.11
Atoms (fractional coordinates):
La (0.024, 0.855, 0.169)
La (0.314, 0.145, 0.169)
La (0.686, 0.855, 0.831)
La (0.976, 0.145, 0.831)
Nd (0.000, 0.500, 0.500)
Nd (0.393, 0.393, 0.000)
Nd (0.607, 0.607, 0.000)
Y (0.262, 0.762, 0.500)
Y (0.317, 0.000, 0.317)
Y (0.683, 0.000, 0.683)
Y (0.738, 0.238, 0.500)

Record 12
LaNdY5: relaxed, PBE.

Values from the calculation:
- DFT total energy (eV/atom) = -5.810
- distance to the lowest polymorph of the same formula (eV per atom) = 0.096
- space-group type = C2/c
- size of the total moment (μB per atom) = 0.000
- D(E_F) (states/eV/atom) = 1.465

Unit cell a=6.853 b=6.853 c=12.333 alpha=106.65 beta=106.65 gamma=60.45
Atoms (fractional coordinates):
La (0.025, 0.975, 0.750)
La (0.975, 0.025, 0.250)
Nd (0.000, 0.500, 0.000)
Nd (0.500, 0.000, 0.500)
Y (0.140, 0.420, 0.749)
Y (0.196, 0.647, 0.501)
Y (0.353, 0.804, 0.999)
Y (0.410, 0.590, 0.250)
Y (0.420, 0.140, 0.249)
Y (0.580, 0.860, 0.751)
Y (0.590, 0.410, 0.750)
Y (0.647, 0.196, 0.001)
Y (0.804, 0.353, 0.499)
Y (0.860, 0.580, 0.251)

Record 13
La3NdY2: relaxed, PBE.

Values from the calculation:
- DFT total energy (eV/atom) = -5.397
- distance to the lowest polymorph of the same formula (eV per atom) = 0.000
- space-group type = C2/c
- size of the total moment (μB per atom) = 0.000
- D(E_F) (states/eV/atom) = 1.578

Unit cell a=6.353 b=6.353 c=12.217 alpha=110.32 beta=110.32 gamma=70.25
Atoms (fractional coordinates):
La (0.043, 0.291, 0.583)
La (0.125, 0.875, 0.750)
La (0.291, 0.043, 0.083)
La (0.709, 0.957, 0.917)
La (0.875, 0.125, 0.250)
La (0.957, 0.709, 0.417)
Nd (0.374, 0.626, 0.250)
Nd (0.626, 0.374, 0.750)
Y (0.209, 0.459, 0.918)
Y (0.459, 0.209, 0.418)
Y (0.541, 0.791, 0.582)
Y (0.791, 0.541, 0.082)

Record 14
LaNd12Y2: relaxed, PBE.

Values from the calculation:
- DFT total energy (eV/atom) = -4.859
- space-group type = Cmme
- size of the total moment (μB per atom) = 0.000
- D(E_F) (states/eV/atom) = 1.452

Unit cell a=6.875 b=6.875 c=25.180 alpha=90.00 beta=90.00 gamma=116.52
Atoms (fractional coordinates):
La (0.250, 0.750, 0.996)
La (0.750, 0.250, 0.004)
Nd (0.004, 0.504, 0.867)
Nd (0.008, 0.992, 0.076)
Nd (0.020, 0.520, 0.415)
Nd (0.024, 0.976, 0.560)
Nd (0.250, 0.250, 0.200)
Nd (0.250, 0.250, 0.326)
Nd (0.250, 0.250, 0.674)
Nd (0.250, 0.250, 0.800)
Nd (0.476, 0.524, 0.560)
Nd (0.480, 0.980, 0.415)
Nd (0.492, 0.508, 0.076)
Nd (0.496, 0.996, 0.867)
Nd (0.504, 0.004, 0.133)
Nd (0.508, 0.492, 0.924)
Nd (0.520, 0.020, 0.585)
Nd (0.524, 0.476, 0.440)
Nd (0.750, 0.750, 0.200)
Nd (0.750, 0.750, 0.326)
Nd (0.750, 0.750, 0.674)
Nd (0.750, 0.750, 0.800)
Nd (0.976, 0.024, 0.440)
Nd (0.980, 0.480, 0.585)
Nd (0.992, 0.008, 0.924)
Nd (0.996, 0.496, 0.133)
Y (0.250, 0.750, 0.268)
Y (0.250, 0.750, 0.727)
Y (0.750, 0.250, 0.273)
Y (0.750, 0.250, 0.732)

Record 15
La5Nd12Y2: relaxed, PBE.

Values from the calculation:
- DFT total energy (eV/atom) = -4.888
- distance to the lowest polymorph of the same formula (eV per atom) = 0.000
- space-group type = C2/m
- size of the total moment (μB per atom) = 0.000
- D(E_F) (states/eV/atom) = 1.531

Unit cell a=8.895 b=8.895 c=9.633 alpha=109.12 beta=109.12 gamma=83.49
Atoms (fractional coordinates):
La (0.000, 0.000, 0.000)
La (0.193, 0.193, 0.826)
La (0.313, 0.313, 0.272)
La (0.687, 0.687, 0.728)
La (0.807, 0.807, 0.174)
Nd (0.054, 0.558, 0.691)
Nd (0.119, 0.119, 0.444)
Nd (0.172, 0.617, 0.081)
Nd (0.383, 0.828, 0.919)
Nd (0.424, 0.424, 0.710)
Nd (0.442, 0.946, 0.309)
Nd (0.558, 0.054, 0.691)
Nd (0.576, 0.576, 0.290)
Nd (0.617, 0.172, 0.081)
Nd (0.828, 0.383, 0.919)
Nd (0.881, 0.881, 0.556)
Nd (0.946, 0.442, 0.309)
Y (0.265, 0.735, 0.500)
Y (0.735, 0.265, 0.500)

Record 16
LaNd5Y4: relaxed, PBE.

Values from the calculation:
- DFT total energy (eV/atom) = -5.321
- distance to the lowest polymorph of the same formula (eV per atom) = 0.126
- space-group type = C2/m
- size of the total moment (μB per atom) = 0.000
- D(E_F) (states/eV/atom) = 1.807

Unit cell a=14.434 b=14.434 c=6.931 alpha=97.15 beta=97.15 gamma=14.00
Atoms (fractional coordinates):
La (0.000, 0.000, 0.000)
Nd (0.000, 0.000, 0.500)
Nd (0.295, 0.295, 0.897)
Nd (0.299, 0.299, 0.401)
Nd (0.701, 0.701, 0.599)
Nd (0.705, 0.705, 0.103)
Y (0.108, 0.108, 0.808)
Y (0.405, 0.405, 0.695)
Y (0.595, 0.595, 0.305)
Y (0.892, 0.892, 0.192)

Record 17
La6Nd5Y2: relaxed, PBE.

Values from the calculation:
- DFT total energy (eV/atom) = -5.014
- space-group type = Pbam
- size of the total moment (μB per atom) = 0.000
- D(E_F) (states/eV/atom) = 1.375

Unit cell a=11.933 b=21.309 c=3.688 alpha=90.00 beta=90.00 gamma=90.00
Atoms (fractional coordinates):
La (0.063, 0.080, 0.000)
La (0.082, 0.368, 0.000)
La (0.174, 0.638, 0.500)
La (0.326, 0.138, 0.500)
La (0.418, 0.868, 0.000)
La (0.437, 0.580, 0.000)
La (0.563, 0.420, 0.000)
La (0.582, 0.132, 0.000)
La (0.674, 0.862, 0.500)
La (0.826, 0.362, 0.500)
La (0.918, 0.632, 0.000)
La (0.937, 0.920, 0.000)
Nd (0.000, 0.500, 0.500)
Nd (0.093, 0.227, 0.500)
Nd (0.197, 0.944, 0.500)
Nd (0.303, 0.444, 0.500)
Nd (0.407, 0.727, 0.500)
Nd (0.500, 0.000, 0.500)
Nd (0.593, 0.273, 0.500)
Nd (0.697, 0.556, 0.500)
Nd (0.803, 0.056, 0.500)
Nd (0.907, 0.773, 0.500)
Y (0.165, 0.790, 0.000)
Y (0.335, 0.290, 0.000)
Y (0.665, 0.710, 0.000)
Y (0.835, 0.210, 0.000)

Record 18
La5NdY2: relaxed, PBE.

Values from the calculation:
- DFT total energy (eV/atom) = -5.260
- distance to the lowest polymorph of the same formula (eV per atom) = 0.000
- space-group type = Immm
- size of the total moment (μB per atom) = 0.000
- D(E_F) (states/eV/atom) = 1.522

Unit cell a=9.097 b=9.097 c=9.097 alpha=156.93 beta=101.90 gamma=82.75
Atoms (fractional coordinates):
La (0.000, 0.000, 0.000)
La (0.103, 0.371, 0.732)
La (0.362, 0.629, 0.732)
La (0.638, 0.371, 0.268)
La (0.897, 0.629, 0.268)
Nd (0.500, 0.000, 0.500)
Y (0.257, 0.257, 0.000)
Y (0.743, 0.743, 0.000)